Entry 1:
Material: AcScZnAg
Method: DFT, PBE
State: optimized geometry

Calculated values
Space group: No. 216
Formation energy: -15.70 kJ per mole of atoms
Uncorrected energy: -3.80 eV per atom
Total moment: 0.0 μB/f.u.

```
AcScZnAg
1.0
5.244 0.000 0.000
2.622 4.541 0.000
2.622 1.514 4.282
Zn Ac Ag Sc
1 1 1 1
Cartesian
2.622 1.514 1.070
0.000 0.000 0.000
7.866 4.541 3.211
5.244 3.028 2.141
```


Entry 2:
Material: Ac2AgSe
Method: DFT, PBE
State: optimized geometry

Calculated values
Space group: No. 123
Offset from the most stable computed form: 113 meV per atom
Uncorrected energy: -4.49 eV per atom
Formation energy (no corrections): -3.4 eV/f.u.
Total moment: 0.0 μB/f.u.

```
Ac2AgSe
1.0
3.886 0.000 0.000
0.000 3.886 0.000
0.000 0.000 7.927
Ac Ag Se
2 1 1
Cartesian
0.000 0.000 2.024
0.000 0.000 5.902
1.943 1.943 0.000
1.943 1.943 3.963
```


The following V values (in Å³/f.u.) correspond, in order, to the records above: 102, 120.